# TlSnBi2 PBE-GGA optimized geometry
# ΔE to the lowest computed polymorph: 0.065 eV per atom
# Total moment: 0.00 μB/atom
# Uncorrected energy: -3.445 eV per atom
# DFT formation energy: 0.3 eV/f.u.
# Symmetry: Fm-3m (225)
data_TlSnBi2
_chemical_formula_sum 'Tl4 Sn4 Bi8'
_symmetry_space_group_name_H-M 'P 1'
_symmetry_Int_Tables_number 1
_symmetry_space_group_name_Hall 'P 1'
_cell_length_a 7.869
_cell_length_b 7.869
_cell_length_c 7.869
_cell_angle_alpha 90.00
_cell_angle_beta 90.00
_cell_angle_gamma 90.00
loop_
_atom_site_label
_atom_site_fract_x
_atom_site_fract_y
_atom_site_fract_z
Tl1 0.000 0.000 0.000
Tl2 0.000 0.500 0.500
Tl3 0.500 0.000 0.500
Tl4 0.500 0.500 0.000
Sn1 0.000 0.000 0.500
Sn2 0.000 0.500 0.000
Sn3 0.500 0.000 0.000
Sn4 0.500 0.500 0.500
Bi1 0.250 0.250 0.250
Bi2 0.250 0.250 0.750
Bi3 0.250 0.750 0.250
Bi4 0.250 0.750 0.750
Bi5 0.750 0.250 0.250
Bi6 0.750 0.250 0.750
Bi7 0.750 0.750 0.250
Bi8 0.750 0.750 0.750

# TlSn5Bi6 PBE-GGA optimized geometry
# Total moment: 0.00 μB/atom
# Uncorrected energy: -3.727 eV per atom
# DFT formation energy: 0.9 eV/f.u.
# Symmetry: C2/m (12)
data_TlSn5Bi6
_chemical_formula_sum 'Tl1 Sn5 Bi6'
_symmetry_space_group_name_H-M 'P 1'
_symmetry_Int_Tables_number 1
_symmetry_space_group_name_Hall 'P 1'
_cell_length_a 9.802
_cell_length_b 9.802
_cell_length_c 5.763
_cell_angle_alpha 107.09
_cell_angle_beta 107.09
_cell_angle_gamma 123.39
loop_
_atom_site_label
_atom_site_fract_x
_atom_site_fract_y
_atom_site_fract_z
Tl1 0.000 0.000 0.000
Sn1 0.164 0.836 0.500
Sn2 0.333 0.667 0.000
Sn3 0.500 0.500 0.500
Sn4 0.667 0.333 0.000
Sn5 0.836 0.164 0.500
Bi1 0.086 0.429 0.257
Bi2 0.264 0.264 0.764
Bi3 0.429 0.086 0.257
Bi4 0.571 0.914 0.743
Bi5 0.736 0.736 0.236
Bi6 0.914 0.571 0.743

# TlSnBi2 PBE-GGA optimized geometry
# ΔE to the lowest computed polymorph: 0.148 eV per atom
# Total moment: 0.00 μB/atom
# Uncorrected energy: -3.362 eV per atom
# DFT formation energy: 0.7 eV/f.u.
# Symmetry: I-42d (122)
data_TlSnBi2
_chemical_formula_sum 'Tl4 Sn4 Bi8'
_symmetry_space_group_name_H-M 'P 1'
_symmetry_Int_Tables_number 1
_symmetry_space_group_name_Hall 'P 1'
_cell_length_a 7.082
_cell_length_b 7.082
_cell_length_c 13.940
_cell_angle_alpha 90.00
_cell_angle_beta 90.00
_cell_angle_gamma 90.00
loop_
_atom_site_label
_atom_site_fract_x
_atom_site_fract_y
_atom_site_fract_z
Tl1 0.000 0.000 0.000
Tl2 0.000 0.500 0.250
Tl3 0.500 0.000 0.750
Tl4 0.500 0.500 0.500
Sn1 0.000 0.000 0.500
Sn2 0.000 0.500 0.750
Sn3 0.500 0.000 0.250
Sn4 0.500 0.500 0.000
Bi1 0.239 0.250 0.625
Bi2 0.250 0.739 0.875
Bi3 0.250 0.761 0.375
Bi4 0.261 0.250 0.125
Bi5 0.739 0.750 0.125
Bi6 0.750 0.239 0.375
Bi7 0.750 0.261 0.875
Bi8 0.761 0.750 0.625

# Tl4Sn2Bi PBE-GGA optimized geometry
# Total moment: 0.00 μB/atom
# Uncorrected energy: -3.048 eV per atom
# DFT formation energy: 0.0 eV/f.u.
# Symmetry: Cmmm (65)
data_Tl4Sn2Bi
_chemical_formula_sum 'Tl8 Sn4 Bi2'
_symmetry_space_group_name_H-M 'P 1'
_symmetry_Int_Tables_number 1
_symmetry_space_group_name_Hall 'P 1'
_cell_length_a 3.500
_cell_length_b 36.511
_cell_length_c 3.408
_cell_angle_alpha 90.00
_cell_angle_beta 90.00
_cell_angle_gamma 90.00
loop_
_atom_site_label
_atom_site_fract_x
_atom_site_fract_y
_atom_site_fract_z
Tl1 0.000 0.070 0.000
Tl2 0.000 0.352 0.500
Tl3 0.000 0.648 0.500
Tl4 0.000 0.930 0.000
Tl5 0.500 0.148 0.500
Tl6 0.500 0.430 0.000
Tl7 0.500 0.570 0.000
Tl8 0.500 0.852 0.500
Sn1 0.000 0.215 0.000
Sn2 0.000 0.785 0.000
Sn3 0.500 0.285 0.000
Sn4 0.500 0.715 0.000
Bi1 0.000 0.500 0.500
Bi2 0.500 0.000 0.500

# Tl2SnBi PBE-GGA optimized geometry
# ΔE to the lowest computed polymorph: 0.000 eV per atom
# Total moment: 0.00 μB/atom
# Uncorrected energy: -3.130 eV per atom
# DFT formation energy: 0.1 eV/f.u.
# Symmetry: P4/mmm (123)
data_Tl2SnBi
_chemical_formula_sum 'Tl2 Sn1 Bi1'
_symmetry_space_group_name_H-M 'P 1'
_symmetry_Int_Tables_number 1
_symmetry_space_group_name_Hall 'P 1'
_cell_length_a 4.762
_cell_length_b 4.762
_cell_length_c 5.455
_cell_angle_alpha 90.00
_cell_angle_beta 90.00
_cell_angle_gamma 90.00
loop_
_atom_site_label
_atom_site_fract_x
_atom_site_fract_y
_atom_site_fract_z
Tl1 0.000 0.500 0.000
Tl2 0.500 0.000 0.000
Sn1 0.000 0.000 0.500
Bi1 0.500 0.500 0.500

# Tl3Sn4Bi2 PBE-GGA optimized geometry
# Total moment: 0.00 μB/atom
# Uncorrected energy: -3.427 eV per atom
# DFT formation energy: 0.0 eV/f.u.
# Symmetry: C2/c (15)
data_Tl3Sn4Bi2
_chemical_formula_sum 'Tl6 Sn8 Bi4'
_symmetry_space_group_name_H-M 'P 1'
_symmetry_Int_Tables_number 1
_symmetry_space_group_name_Hall 'P 1'
_cell_length_a 9.591
_cell_length_b 9.591
_cell_length_c 6.950
_cell_angle_alpha 90.21
_cell_angle_beta 90.21
_cell_angle_gamma 59.80
loop_
_atom_site_label
_atom_site_fract_x
_atom_site_fract_y
_atom_site_fract_z
Tl1 0.001 0.999 0.750
Tl2 0.334 0.334 0.248
Tl3 0.334 0.334 0.748
Tl4 0.666 0.666 0.252
Tl5 0.666 0.666 0.752
Tl6 0.999 0.001 0.250
Sn1 0.006 0.662 0.021
Sn2 0.333 0.661 0.971
Sn3 0.338 0.994 0.479
Sn4 0.339 0.667 0.529
Sn5 0.661 0.333 0.471
Sn6 0.662 0.006 0.521
Sn7 0.667 0.339 0.029
Sn8 0.994 0.338 0.979
Bi1 0.001 0.672 0.469
Bi2 0.328 0.999 0.031
Bi3 0.672 0.001 0.969
Bi4 0.999 0.328 0.531

# Tl6SnBi PBE-GGA optimized geometry
# Total moment: 0.00 μB/atom
# Uncorrected energy: -2.755 eV per atom
# DFT formation energy: 0.0 eV/f.u.
# Symmetry: P4/mmm (123)
data_Tl6SnBi
_chemical_formula_sum 'Tl6 Sn1 Bi1'
_symmetry_space_group_name_H-M 'P 1'
_symmetry_Int_Tables_number 1
_symmetry_space_group_name_Hall 'P 1'
_cell_length_a 4.965
_cell_length_b 4.965
_cell_length_c 9.967
_cell_angle_alpha 90.00
_cell_angle_beta 90.00
_cell_angle_gamma 90.00
loop_
_atom_site_label
_atom_site_fract_x
_atom_site_fract_y
_atom_site_fract_z
Tl1 0.000 0.000 0.000
Tl2 0.000 0.000 0.500
Tl3 0.000 0.500 0.249
Tl4 0.000 0.500 0.751
Tl5 0.500 0.000 0.249
Tl6 0.500 0.000 0.751
Sn1 0.500 0.500 0.000
Bi1 0.500 0.500 0.500

# Tl2SnBi PBE-GGA optimized geometry
# ΔE to the lowest computed polymorph: 0.015 eV per atom
# Total moment: 0.00 μB/atom
# Uncorrected energy: -3.115 eV per atom
# DFT formation energy: 0.2 eV/f.u.
# Symmetry: Cm (8)
data_Tl2SnBi
_chemical_formula_sum 'Tl4 Sn2 Bi2'
_symmetry_space_group_name_H-M 'P 1'
_symmetry_Int_Tables_number 1
_symmetry_space_group_name_Hall 'P 1'
_cell_length_a 10.483
_cell_length_b 4.478
_cell_length_c 7.047
_cell_angle_alpha 90.00
_cell_angle_beta 124.10
_cell_angle_gamma 90.00
loop_
_atom_site_label
_atom_site_fract_x
_atom_site_fract_y
_atom_site_fract_z
Tl1 0.000 0.000 0.000
Tl2 0.161 0.000 0.667
Tl3 0.500 0.500 0.000
Tl4 0.661 0.500 0.667
Sn1 0.392 0.000 0.242
Sn2 0.892 0.500 0.242
Bi1 0.271 0.500 0.412
Bi2 0.771 0.000 0.412

# TlSnBi2 PBE-GGA optimized geometry
# ΔE to the lowest computed polymorph: 0.042 eV per atom
# Total moment: 0.00 μB/atom
# Uncorrected energy: -3.468 eV per atom
# DFT formation energy: 0.3 eV/f.u.
# Symmetry: P4/mmm (123)
data_TlSnBi2
_chemical_formula_sum 'Tl1 Sn1 Bi2'
_symmetry_space_group_name_H-M 'P 1'
_symmetry_Int_Tables_number 1
_symmetry_space_group_name_Hall 'P 1'
_cell_length_a 3.890
_cell_length_b 3.890
_cell_length_c 8.143
_cell_angle_alpha 90.00
_cell_angle_beta 90.00
_cell_angle_gamma 90.00
loop_
_atom_site_label
_atom_site_fract_x
_atom_site_fract_y
_atom_site_fract_z
Tl1 0.000 0.000 0.000
Sn1 0.000 0.000 0.500
Bi1 0.500 0.500 0.272
Bi2 0.500 0.500 0.728

# Tl3Sn2Bi4 PBE-GGA optimized geometry
# Total moment: 0.00 μB/atom
# Uncorrected energy: -3.422 eV per atom
# DFT formation energy: -0.2 eV/f.u.
# Symmetry: C2/c (15)
data_Tl3Sn2Bi4
_chemical_formula_sum 'Tl6 Sn4 Bi8'
_symmetry_space_group_name_H-M 'P 1'
_symmetry_Int_Tables_number 1
_symmetry_space_group_name_Hall 'P 1'
_cell_length_a 9.799
_cell_length_b 9.799
_cell_length_c 6.761
_cell_angle_alpha 90.00
_cell_angle_beta 90.00
_cell_angle_gamma 60.36
loop_
_atom_site_label
_atom_site_fract_x
_atom_site_fract_y
_atom_site_fract_z
Tl1 0.000 0.000 0.250
Tl2 0.000 0.000 0.750
Tl3 0.332 0.332 0.250
Tl4 0.332 0.332 0.750
Tl5 0.668 0.668 0.250
Tl6 0.668 0.668 0.750
Sn1 0.001 0.336 0.001
Sn2 0.336 0.001 0.501
Sn3 0.664 0.999 0.499
Sn4 0.999 0.664 0.999
Bi1 0.002 0.331 0.499
Bi2 0.329 0.666 0.001
Bi3 0.331 0.002 0.999
Bi4 0.334 0.671 0.499
Bi5 0.666 0.329 0.501
Bi6 0.669 0.998 0.001
Bi7 0.671 0.334 0.999
Bi8 0.998 0.669 0.501

# Tl3Sn8Bi PBE-GGA optimized geometry
# Total moment: 0.00 μB/atom
# Uncorrected energy: -3.498 eV per atom
# DFT formation energy: 1.0 eV/f.u.
# Symmetry: R3m (160)
data_Tl3Sn8Bi
_chemical_formula_sum 'Tl3 Sn8 Bi1'
_symmetry_space_group_name_H-M 'P 1'
_symmetry_Int_Tables_number 1
_symmetry_space_group_name_Hall 'P 1'
_cell_length_a 11.063
_cell_length_b 11.063
_cell_length_c 11.063
_cell_angle_alpha 33.47
_cell_angle_beta 33.47
_cell_angle_gamma 33.47
loop_
_atom_site_label
_atom_site_fract_x
_atom_site_fract_y
_atom_site_fract_z
Tl1 0.000 0.000 0.000
Tl2 0.118 0.118 0.118
Tl3 0.630 0.630 0.630
Sn1 0.058 0.058 0.557
Sn2 0.058 0.557 0.058
Sn3 0.064 0.558 0.558
Sn4 0.309 0.309 0.309
Sn5 0.557 0.058 0.058
Sn6 0.558 0.064 0.558
Sn7 0.558 0.558 0.064
Sn8 0.807 0.807 0.807
Bi1 0.515 0.515 0.515

# TlSn3Bi3 PBE-GGA optimized geometry
# ΔE to the lowest computed polymorph: 0.000 eV per atom
# Total moment: 0.00 μB/atom
# Uncorrected energy: -3.658 eV per atom
# DFT formation energy: 0.4 eV/f.u.
# Symmetry: R-3 (148)
data_TlSn3Bi3
_chemical_formula_sum 'Tl2 Sn6 Bi6'
_symmetry_space_group_name_H-M 'P 1'
_symmetry_Int_Tables_number 1
_symmetry_space_group_name_Hall 'P 1'
_cell_length_a 8.851
_cell_length_b 8.851
_cell_length_c 8.851
_cell_angle_alpha 61.90
_cell_angle_beta 61.90
_cell_angle_gamma 61.90
loop_
_atom_site_label
_atom_site_fract_x
_atom_site_fract_y
_atom_site_fract_z
Tl1 0.166 0.166 0.166
Tl2 0.834 0.834 0.834
Sn1 0.042 0.386 0.726
Sn2 0.274 0.958 0.614
Sn3 0.386 0.726 0.042
Sn4 0.614 0.274 0.958
Sn5 0.726 0.042 0.386
Sn6 0.958 0.614 0.274
Bi1 0.104 0.751 0.423
Bi2 0.249 0.577 0.896
Bi3 0.423 0.104 0.751
Bi4 0.577 0.896 0.249
Bi5 0.751 0.423 0.104
Bi6 0.896 0.249 0.577